No. 1
Density functional theory data (GGA-PBE) for crystalline Li2Nd2InPd5 at its relaxed geometry.

Summary:
M_tot   0.00 μB per atom
Calculated formation energy   -619 kJ/mol of formula units
E   -4.848 eV per atom

Lattice parameters (Å, degrees): 3.787 9.749 9.749 90.00 90.00 90.00
Atoms (fractional coordinates):
Nd: 0.000 0.679 0.179
Nd: 0.000 0.321 0.821
Nd: 0.000 0.821 0.679
Nd: 0.000 0.179 0.321
Pd: 0.500 0.500 0.000
Pd: 0.500 0.567 0.711
Pd: 0.500 0.211 0.067
Pd: 0.500 0.289 0.567
Pd: 0.500 0.711 0.433
Pd: 0.500 0.067 0.789
Pd: 0.500 0.000 0.500
Pd: 0.500 0.433 0.289
Pd: 0.500 0.933 0.211
Pd: 0.500 0.789 0.933
In: 0.000 0.000 0.000
In: 0.000 0.500 0.500
Li: 0.000 0.381 0.119
Li: 0.000 0.119 0.619
Li: 0.000 0.619 0.881
Li: 0.000 0.881 0.381


No. 2
Density functional theory data (GGA-PBE) for crystalline LiNd2InPd6 at its relaxed geometry.

Summary:
M_tot   0.00 μB per atom
Calculated formation energy   -481 kJ/mol of formula units
E   -5.033 eV per atom

Lattice parameters (Å, degrees): 8.590 5.701 8.592 70.63 38.76 90.00
Atoms (fractional coordinates):
Nd: 0.794 0.206 0.589
Nd: 0.206 0.794 0.411
Pd: 0.257 0.742 0.014
Pd: 0.755 0.742 0.515
Pd: 0.245 0.258 0.485
Pd: 0.257 0.244 0.014
Pd: 0.743 0.756 0.986
Pd: 0.743 0.258 0.986
In: 0.000 0.000 0.000
Li: 0.500 0.500 0.000


No. 3
Density functional theory data (GGA-PBE) for crystalline Li2Pm2NdIn2 at its relaxed geometry.

Summary:
M_tot   0.00 μB per atom
Calculated formation energy   -168 kJ/mol of formula units
E   -3.617 eV per atom

Lattice parameters (Å, degrees): 4.961 4.961 9.342 74.60 74.60 60.00
Atoms (fractional coordinates):
Pm: 0.872 0.872 0.383
Pm: 0.128 0.128 0.617
Li: 0.396 0.396 0.813
Li: 0.604 0.604 0.187
In: 0.737 0.737 0.788
In: 0.263 0.263 0.212
Nd: 0.000 0.000 0.000


No. 4
Density functional theory data (GGA-PBE) for crystalline Li2PmNd2In5 at its relaxed geometry.

Summary:
M_tot   0.00 μB per atom
Calculated formation energy   -407 kJ/mol of formula units
E   -3.603 eV per atom

Lattice parameters (Å, degrees): 4.478 10.529 10.529 90.00 90.00 90.00
Atoms (fractional coordinates):
In: 0.500 0.072 0.784
In: 0.500 0.216 0.072
In: 0.500 0.928 0.216
In: 0.500 0.000 0.500
In: 0.500 0.572 0.716
In: 0.500 0.716 0.428
In: 0.500 0.428 0.284
In: 0.500 0.284 0.572
In: 0.500 0.500 0.000
In: 0.500 0.784 0.928
Pm: 0.000 0.000 0.000
Pm: 0.000 0.500 0.500
Nd: 0.000 0.825 0.675
Nd: 0.000 0.325 0.825
Nd: 0.000 0.675 0.175
Nd: 0.000 0.175 0.325
Li: 0.000 0.881 0.381
Li: 0.000 0.619 0.881
Li: 0.000 0.381 0.119
Li: 0.000 0.119 0.619


No. 5
Density functional theory data (GGA-PBE) for crystalline Li2Pr2NdIn2 at its relaxed geometry.

Summary:
M_tot   0.00 μB per atom
Calculated formation energy   -174 kJ/mol of formula units
E   -3.634 eV per atom

Lattice parameters (Å, degrees): 4.987 4.987 9.399 74.61 74.61 60.00
Atoms (fractional coordinates):
Li: 0.607 0.607 0.178
Li: 0.393 0.393 0.822
Pr: 0.128 0.128 0.617
Pr: 0.872 0.872 0.383
In: 0.265 0.265 0.206
In: 0.735 0.735 0.794
Nd: 0.000 0.000 0.000


No. 6
Density functional theory data (GGA-PBE) for crystalline Li2PrNd2In2 at its relaxed geometry.

Summary:
M_tot   0.00 μB per atom
Calculated formation energy   -172 kJ/mol of formula units
E   -3.629 eV per atom

Lattice parameters (Å, degrees): 4.989 4.989 9.382 74.58 74.58 60.00
Atoms (fractional coordinates):
Nd: 0.872 0.872 0.383
Nd: 0.128 0.128 0.617
In: 0.737 0.737 0.789
In: 0.263 0.263 0.211
Pr: 0.000 0.000 0.000
Li: 0.605 0.605 0.186
Li: 0.395 0.395 0.814


> What is the formula in the third record?

Li2Pm2NdIn2


> Among the records above, which one has the highest calculated formation energy?

Li2Pm2NdIn2


> What is the formula in the third record?

Li2Pm2NdIn2